Entry from the Alexandria database: an optimized crystal structure of UPdRh2 (PBE).

SG: P4/mmm, No. 123
Relative energy among the computed polymorphs: 0.000 eV per formula unit
Total magnetic moment: 0.02 μB/cell
Energy relative to the elements: -0.6397 eV per atom
Final energy: -8.44 eV per atom

abc: 4.1187 4.1187 3.8998
angles: 90.00 90.00 90.00
With the nearest neighbours (Å) after each atom.
Fractional positions:
U (0.0000, 0.0000, 0.0000)  8 Rh 2.84, 4 Pd 2.91
Pd (0.5000, 0.5000, 0.0000)  8 Rh 2.84, 4 U 2.91
Rh (0.0000, 0.5000, 0.5000)  4 U 2.84, 4 Pd 2.84, 4 Rh 2.91
Rh (0.5000, 0.0000, 0.5000)  4 U 2.84, 4 Pd 2.84, 4 Rh 2.91

---

Entry from the Alexandria database: an optimized crystal structure of U2PdRh5 (PBE).

SG: Pbam, No. 55
Total magnetic moment: 0.00 μB/cell
Energy relative to the elements: -0.6508 eV per atom
Final energy: -8.72 eV per atom

abc: 5.6740 11.3558 4.0703
angles: 90.00 90.00 90.00
With the nearest neighbours (Å) after each atom.
Fractional positions:
U (0.2370, 0.1281, 0.0000)  10 Rh 2.80-2.87, 2 Pd 2.91
U (0.2630, 0.6281, 0.0000)  10 Rh 2.80-2.87, 2 Pd 2.91
U (0.7370, 0.3719, 0.0000)  10 Rh 2.80-2.87, 2 Pd 2.91
U (0.7630, 0.8719, 0.0000)  10 Rh 2.80-2.87, 2 Pd 2.91
Pd (0.0000, 0.5000, 0.5000)  8 Rh 2.83-2.84, 4 U 2.91
Pd (0.5000, 0.0000, 0.5000)  8 Rh 2.83-2.84, 4 U 2.91
Rh (0.0000, 0.0000, 0.5000)  2 Pd 2.84, 4 U 2.84, 6 Rh 2.85-2.87
Rh (0.0117, 0.7490, 0.5000)  1 Pd 2.83, 7 Rh 2.84-2.87, 4 U 2.84
Rh (0.2433, 0.3761, 0.0000)  4 U 2.80-2.87, 2 Pd 2.83, 6 Rh 2.86-2.87
Rh (0.2567, 0.8761, 0.0000)  4 U 2.80-2.87, 2 Pd 2.83, 6 Rh 2.86-2.87
Rh (0.4883, 0.2490, 0.5000)  1 Pd 2.83, 7 Rh 2.84-2.87, 4 U 2.84
Rh (0.5000, 0.5000, 0.5000)  2 Pd 2.84, 4 U 2.84, 6 Rh 2.85-2.87
Rh (0.5117, 0.7510, 0.5000)  1 Pd 2.83, 7 Rh 2.84-2.87, 4 U 2.84
Rh (0.7433, 0.1239, 0.0000)  4 U 2.80-2.87, 2 Pd 2.83, 6 Rh 2.86-2.87
Rh (0.7567, 0.6239, 0.0000)  4 U 2.80-2.87, 2 Pd 2.83, 6 Rh 2.86-2.87
Rh (0.9883, 0.2510, 0.5000)  1 Pd 2.83, 7 Rh 2.84-2.87, 4 U 2.84

---

Entry from the Alexandria database: an optimized crystal structure of V2PdRh4 (PBE).

SG: I4/mmm, No. 139
Relative energy among the computed polymorphs: 2.077 eV per formula unit
Total magnetic moment: 1.26 μB/cell
Energy relative to the elements: 0.2109 eV per atom
Final energy: -7.34 eV per atom

abc: 9.5876 9.5876 9.5876
angles: 159.44 159.44 29.24
With the nearest neighbours (Å) after each atom.
Fractional positions:
V (0.0810, 0.0810, 0.0000)  4 Rh 2.65, 4 Pd 2.85
V (0.9190, 0.9190, 0.0000)  4 Rh 2.65, 4 Pd 2.85
Pd (0.5000, 0.5000, 0.0000)  2 Rh 2.58, 8 V 2.85
Rh (0.2500, 0.7500, 0.5000)  8 Rh 2.42-2.68
Rh (0.3609, 0.3609, 0.0000)  1 Pd 2.58, 4 V 2.65, 4 Rh 2.68
Rh (0.6391, 0.6391, 0.0000)  1 Pd 2.58, 4 V 2.65, 4 Rh 2.68
Rh (0.7500, 0.2500, 0.5000)  8 Rh 2.42-2.68

---

Entry from the Alexandria database: an optimized crystal structure of V2PdRh2 (PBE).

SG: P4/mbm, No. 127
Relative energy among the computed polymorphs: 0.000 eV per formula unit
Total magnetic moment: 0.00 μB/cell
Energy relative to the elements: -0.2690 eV per atom
Final energy: -7.90 eV per atom

abc: 7.1849 7.1849 2.8083
angles: 90.00 90.00 90.00
With the nearest neighbours (Å) after each atom.
Fractional positions:
V (0.1666, 0.3334, 0.0000)  6 Rh 2.47-2.59
V (0.3334, 0.8334, 0.0000)  6 Rh 2.47-2.59
V (0.6666, 0.1666, 0.0000)  6 Rh 2.47-2.59
V (0.8334, 0.6666, 0.0000)  6 Rh 2.47-2.59
Pd (0.0000, 0.0000, 0.5000)  4 Rh 2.80, 2 Pd 2.81, 8 V 3.02
Pd (0.5000, 0.5000, 0.5000)  4 Rh 2.80, 2 Pd 2.81, 8 V 3.02
Rh (0.1339, 0.6339, 0.5000)  6 V 2.47-2.59, 1 Rh 2.72
Rh (0.3661, 0.1339, 0.5000)  6 V 2.47-2.59, 1 Rh 2.72
Rh (0.6339, 0.8661, 0.5000)  6 V 2.47-2.59, 1 Rh 2.72
Rh (0.8661, 0.3661, 0.5000)  6 V 2.47-2.59, 1 Rh 2.72

---

Entry from the Alexandria database: an optimized crystal structure of VPdRh (PBE).

SG: P1, No. 1
Relative energy among the computed polymorphs: 1.022 eV per formula unit
Total magnetic moment: 0.00 μB/cell
Energy relative to the elements: 0.0277 eV per atom
Final energy: -7.19 eV per atom

abc: 3.8418 4.8362 6.0853
angles: 67.36 72.00 66.62
With the nearest neighbours (Å) after each atom.
Fractional positions:
V (0.0000, 0.0000, 0.0000)  3 Rh 2.28-2.45, 1 Pd 2.49
V (0.2707, 0.2554, 0.2044)  2 Rh 2.37-2.58, 3 Pd 2.38-2.59
Pd (0.2485, 0.8938, 0.6016)  2 V 2.38-2.49, 2 Rh 2.64-2.65
Pd (0.7164, 0.6000, 0.9655)  5 V 2.58-2.66, 1 Rh 2.80, 2 Pd 2.86
Rh (0.4905, 0.2563, 0.7583)  3 V 2.45-2.58, 1 Pd 2.70
Rh (0.9677, 0.6669, 0.3870)  2 V 2.28-2.37

---

Entry from the Alexandria database: an optimized crystal structure of V3PdRh4 (PBE).

SG: Pmma, No. 51
Total magnetic moment: 0.00 μB/cell
Energy relative to the elements: -0.3184 eV per atom
Final energy: -8.06 eV per atom

abc: 8.6923 5.5094 4.6530
angles: 90.00 90.00 90.00
With the nearest neighbours (Å) after each atom.
Fractional positions:
V (0.0000, 0.0000, 0.0000)  8 Rh 2.67-2.69, 2 V 2.70, 2 Pd 2.75
V (0.2500, 0.0000, 0.3460)  8 Rh 2.65-2.72, 4 V 2.70-2.75
V (0.2500, 0.5000, 0.3384)  8 Rh 2.66-2.75, 2 Pd 2.68, 2 V 2.75
V (0.5000, 0.0000, 0.0000)  8 Rh 2.67-2.69, 2 V 2.70, 2 Pd 2.75
V (0.7500, 0.0000, 0.6540)  8 Rh 2.65-2.72, 4 V 2.70-2.75
V (0.7500, 0.5000, 0.6616)  8 Rh 2.66-2.75, 2 Pd 2.68, 2 V 2.75
Pd (0.0000, 0.5000, 0.0000)  8 Rh 2.66-2.72, 4 V 2.68-2.75
Pd (0.5000, 0.5000, 0.0000)  8 Rh 2.66-2.72, 4 V 2.68-2.75
Rh (0.0000, 0.2442, 0.5000)  6 V 2.65-2.70, 4 Rh 2.69-2.82, 2 Pd 2.72
Rh (0.0000, 0.7558, 0.5000)  6 V 2.65-2.70, 4 Rh 2.69-2.82, 2 Pd 2.72
Rh (0.2500, 0.2506, 0.8499)  6 V 2.66-2.75, 2 Pd 2.66, 4 Rh 2.72-2.76
Rh (0.2500, 0.7494, 0.8499)  6 V 2.66-2.75, 2 Pd 2.66, 4 Rh 2.72-2.76
Rh (0.5000, 0.2442, 0.5000)  6 V 2.65-2.70, 4 Rh 2.69-2.82, 2 Pd 2.72
Rh (0.5000, 0.7558, 0.5000)  6 V 2.65-2.70, 4 Rh 2.69-2.82, 2 Pd 2.72
Rh (0.7500, 0.2506, 0.1501)  6 V 2.66-2.75, 2 Pd 2.66, 4 Rh 2.72-2.76
Rh (0.7500, 0.7494, 0.1501)  6 V 2.66-2.75, 2 Pd 2.66, 4 Rh 2.72-2.76

---

Entry from the Alexandria database: an optimized crystal structure of V2Pd3Rh3 (PBE).

SG: Pmmm, No. 47
Total magnetic moment: 0.16 μB/cell
Energy relative to the elements: -0.2580 eV per atom
Final energy: -7.24 eV per atom

abc: 3.8501 3.9156 7.5698
angles: 90.00 90.00 90.00
With the nearest neighbours (Å) after each atom.
Fractional positions:
V (0.0000, 0.0000, 0.2439)  6 Rh 2.67-2.73, 6 Pd 2.75-2.76
V (0.0000, 0.0000, 0.7561)  6 Rh 2.67-2.73, 6 Pd 2.75-2.76
Pd (0.0000, 0.5000, 0.5000)  4 Pd 2.71, 4 Rh 2.75, 4 V 2.76
Pd (0.5000, 0.5000, 0.2481)  6 Rh 2.69-2.73, 2 Pd 2.71, 4 V 2.75
Pd (0.5000, 0.5000, 0.7519)  6 Rh 2.69-2.73, 2 Pd 2.71, 4 V 2.75
Rh (0.0000, 0.5000, 0.0000)  4 Pd 2.69, 4 V 2.69, 4 Rh 2.75
Rh (0.5000, 0.0000, 0.0000)  4 V 2.67, 4 Pd 2.71, 4 Rh 2.75
Rh (0.5000, 0.0000, 0.5000)  4 V 2.73, 8 Pd 2.73-2.75

---

Entry from the Alexandria database: an optimized crystal structure of V4PdRh12 (PBE).

SG: Im-3m, No. 229
Total magnetic moment: 0.00 μB/cell
Energy relative to the elements: 0.1288 eV per atom
Final energy: -7.51 eV per atom

abc: 6.9146 6.9146 6.9146
angles: 109.47 109.47 109.47
With the nearest neighbours (Å) after each atom.
Fractional positions:
V (0.0000, 0.0000, 0.5000)  12 Rh 2.82-2.85
V (0.0000, 0.5000, 0.0000)  12 Rh 2.82-2.85
V (0.5000, 0.0000, 0.0000)  12 Rh 2.82-2.85
V (0.5000, 0.5000, 0.5000)  12 Rh 2.82-2.85
Pd (0.0000, 0.0000, 0.0000)  6 Rh 2.38
Rh (0.0000, 0.2986, 0.2986)  1 Pd 2.38, 4 Rh 2.56
Rh (0.0000, 0.7014, 0.7014)  1 Pd 2.38, 4 Rh 2.56
Rh (0.2500, 0.5000, 0.7500)  8 Rh 2.56-2.82, 4 V 2.82
Rh (0.2500, 0.7500, 0.5000)  8 Rh 2.56-2.82, 4 V 2.82
Rh (0.2986, 0.0000, 0.2986)  1 Pd 2.38, 4 Rh 2.56
Rh (0.2986, 0.2986, 0.0000)  1 Pd 2.38, 4 Rh 2.56
Rh (0.5000, 0.2500, 0.7500)  8 Rh 2.56-2.82, 4 V 2.82
Rh (0.5000, 0.7500, 0.2500)  8 Rh 2.56-2.82, 4 V 2.82
Rh (0.7014, 0.0000, 0.7014)  1 Pd 2.38, 4 Rh 2.56
Rh (0.7014, 0.7014, 0.0000)  1 Pd 2.38, 4 Rh 2.56
Rh (0.7500, 0.2500, 0.5000)  8 Rh 2.56-2.82, 4 V 2.82
Rh (0.7500, 0.5000, 0.2500)  8 Rh 2.56-2.82, 4 V 2.82

---

Entry from the Alexandria database: an optimized crystal structure of V2PdRh4 (PBE).

SG: Pbam, No. 55
Relative energy among the computed polymorphs: 0.000 eV per formula unit
Total magnetic moment: 0.00 μB/cell
Energy relative to the elements: -0.0858 eV per atom
Final energy: -7.63 eV per atom

abc: 4.8613 9.8937 4.2450
angles: 90.00 90.00 90.00
With the nearest neighbours (Å) after each atom.
Fractional positions:
V (0.1972, 0.0760, 0.0000)  5 Rh 2.41-2.58, 1 V 2.44, 2 Pd 2.69
V (0.3028, 0.5760, 0.0000)  5 Rh 2.41-2.58, 1 V 2.44, 2 Pd 2.69
V (0.6972, 0.4240, 0.0000)  5 Rh 2.41-2.58, 1 V 2.44, 2 Pd 2.69
V (0.8028, 0.9240, 0.0000)  5 Rh 2.41-2.58, 1 V 2.44, 2 Pd 2.69
Pd (0.0000, 0.5000, 0.5000)  4 V 2.69, 6 Rh 2.78-2.93
Pd (0.5000, 0.0000, 0.5000)  4 V 2.69, 6 Rh 2.78-2.93
Rh (0.0137, 0.1750, 0.5000)  2 V 2.50, 4 Rh 2.74-2.75
Rh (0.1590, 0.3359, 0.0000)  3 V 2.41-2.58
Rh (0.3410, 0.8359, 0.0000)  3 V 2.41-2.58
Rh (0.4863, 0.6750, 0.5000)  2 V 2.50, 4 Rh 2.74-2.75
Rh (0.5137, 0.3250, 0.5000)  2 V 2.50, 4 Rh 2.74-2.75
Rh (0.6590, 0.1641, 0.0000)  3 V 2.41-2.58
Rh (0.8410, 0.6641, 0.0000)  3 V 2.41-2.58
Rh (0.9863, 0.8250, 0.5000)  2 V 2.50, 4 Rh 2.74-2.75

---

Entry from the Alexandria database: an optimized crystal structure of V4PdRh7 (PBE).

SG: C2/m, No. 12
Total magnetic moment: 0.00 μB/cell
Energy relative to the elements: 0.0984 eV per atom
Final energy: -7.66 eV per atom

abc: 5.9226 5.9226 8.6410
angles: 119.93 119.93 46.50
With the nearest neighbours (Å) after each atom.
Fractional positions:
V (0.0733, 0.0733, 0.2788)  2 Rh 2.26-2.44
V (0.2165, 0.2165, 0.8260)  5 Rh 2.37-2.63
V (0.7835, 0.7835, 0.1740)  5 Rh 2.37-2.63
V (0.9267, 0.9267, 0.7212)  2 Rh 2.26-2.44
Pd (0.5000, 0.5000, 0.5000)  2 Rh 2.34
Rh (0.0000, 0.0000, 0.5000)  2 Pd 2.34, 4 V 2.44-2.51
Rh (0.1524, 0.1524, 0.0851)  1 V 2.26
Rh (0.2884, 0.2884, 0.6110)  2 V 2.37-2.53
Rh (0.4209, 0.4209, 0.1373)  1 V 2.38
Rh (0.5791, 0.5791, 0.8627)  1 V 2.38
Rh (0.7116, 0.7116, 0.3890)  2 V 2.37-2.53
Rh (0.8476, 0.8476, 0.9149)  1 V 2.26

---

Entry from the Alexandria database: an optimized crystal structure of V2Pd7Rh2 (PBE).

SG: C2/m, No. 12
Total magnetic moment: 0.00 μB/cell
Energy relative to the elements: 0.0486 eV per atom
Final energy: -6.25 eV per atom

abc: 6.1888 6.1888 4.8848
angles: 103.10 103.10 79.70
With the nearest neighbours (Å) after each atom.
Fractional positions:
V (0.1895, 0.8105, 0.0000)  2 Rh 2.40, 2 Pd 2.60
V (0.8105, 0.1895, 0.0000)  2 Rh 2.40, 2 Pd 2.60
Pd (0.0000, 0.0000, 0.5000)  2 Rh 2.63, 4 Pd 2.67, 4 V 2.87
Pd (0.0762, 0.4179, 0.7500)  1 V 2.60, 3 Rh 2.66-2.84, 4 Pd 2.67-2.76
Pd (0.4179, 0.0762, 0.7500)  1 V 2.60, 3 Rh 2.66-2.84, 4 Pd 2.67-2.76
Pd (0.4750, 0.4750, 0.2372)  2 Pd 2.47-2.50, 1 Rh 2.61, 2 V 2.76
Pd (0.5250, 0.5250, 0.7628)  2 Pd 2.47-2.50, 1 Rh 2.61, 2 V 2.76
Pd (0.5821, 0.9238, 0.2500)  1 V 2.60, 3 Rh 2.66-2.84, 4 Pd 2.67-2.76
Pd (0.9238, 0.5821, 0.2500)  1 V 2.60, 3 Rh 2.66-2.84, 4 Pd 2.67-2.76
Rh (0.1975, 0.1975, 0.2188)  2 V 2.40, 4 Pd 2.61-2.66
Rh (0.8025, 0.8025, 0.7812)  2 V 2.40, 4 Pd 2.61-2.66

---

Entry from the Alexandria database: an optimized crystal structure of VPdRh (PBE).

SG: Cmcm, No. 63
Relative energy among the computed polymorphs: 0.000 eV per formula unit
Total magnetic moment: 0.00 μB/cell
Energy relative to the elements: -0.3130 eV per atom
Final energy: -7.53 eV per atom

abc: 7.1470 7.1470 4.3806
angles: 90.00 90.00 157.66
With the nearest neighbours (Å) after each atom.
Fractional positions:
V (0.1046, 0.8954, 0.7500)  6 Rh 2.65-2.68, 4 Pd 2.75-2.78, 2 V 2.77
V (0.8954, 0.1046, 0.2500)  6 Rh 2.65-2.68, 4 Pd 2.75-2.78, 2 V 2.77
Pd (0.2264, 0.7736, 0.2500)  6 Pd 2.67-2.77, 4 V 2.75-2.78, 2 Rh 2.76
Pd (0.7736, 0.2264, 0.7500)  6 Pd 2.67-2.77, 4 V 2.75-2.78, 2 Rh 2.76
Rh (0.4437, 0.5563, 0.7500)  6 V 2.65-2.68, 4 Rh 2.70-2.77, 2 Pd 2.76
Rh (0.5563, 0.4437, 0.2500)  6 V 2.65-2.68, 4 Rh 2.70-2.77, 2 Pd 2.76